The following is a PBE calculation of Tb2CdPd4 after structural relaxation, from the Alexandria database.

Cell: 4.9849 4.9850 9.1365 Å, 58.23 58.23 51.25°
Sites, in units of the cell vectors:
Tb: 0.7954 0.7954 0.7289
Tb: 0.2046 0.2046 0.2711
Cd: 0.0000 0.0000 0.0000
Pd: 0.8422 0.8422 0.3819
Pd: 0.1578 0.1578 0.6181
Pd: 0.6061 0.6061 0.1272
Pd: 0.3939 0.3939 0.8728

## Properties
Total moment   0.000 Bohr magnetons per cell
E above lowest polymorph   37 meV per atom
Space-group type   C2/m

---

The following is a PBE calculation of PmPrTcHg after structural relaxation, from the Alexandria database.

Cell: 5.2006 5.2006 5.2006 Å, 60.00 60.00 60.00°
Sites, in units of the cell vectors:
Pr: 0.5000 0.5000 0.5000
Hg: 0.7500 0.7500 0.7500
Tc: 0.2500 0.2500 0.2500
Pm: 0.0000 0.0000 0.0000

## Properties
Total moment   0.000 Bohr magnetons per cell
Energy   -5.08 eV/atom
Space-group type   F-43m

---

Question: Look up the total moment of the first one.
Answer: 0.000 Bohr magnetons per cell

---

Question: Which value of total moment does entry 1 give?
Answer: 0.000 Bohr magnetons per cell

---

Question: Which value of total moment does entry 2 give?
Answer: 0.000 Bohr magnetons per cell